# 1
The following is a DFT calculation (GGA-PBE) of an optimized crystal structure of ScTlSn3.

CIF file:
```
data_ScTlSn3
_cell_length_a 5.541
_cell_length_b 5.541
_cell_length_c 5.541
_cell_angle_alpha 90.00
_cell_angle_beta 90.00
_cell_angle_gamma 90.00
_space_group_name_H-M_alt 'P m -3 m'
_space_group_IT_number 221
_space_group_name_Hall '-P 4 2 3'
loop_
_atom_site_label
_atom_site_type_symbol
_atom_site_fract_x
_atom_site_fract_y
_atom_site_fract_z
Sc1 Sc 0.000 0.000 0.000
Tl1 Tl 0.500 0.500 0.500
Sn1 Sn 0.000 0.000 0.500
```

## Properties
- energy above the lowest structure with this stoichiometry (eV/atom) = 0.000
- energy of formation from the pure elements (eV/atom) = 0.1684

---

# 2
The following is a DFT calculation (GGA-PBE) of an optimized crystal structure of HfTcPH2.

CIF file:
```
data_HfTcPH2
_cell_length_a 3.698
_cell_length_b 9.255
_cell_length_c 6.102
_cell_angle_alpha 90.00
_cell_angle_beta 90.00
_cell_angle_gamma 90.00
_space_group_name_H-M_alt 'C m c m'
_space_group_IT_number 63
_space_group_name_Hall '-C 2c 2'
loop_
_atom_site_label
_atom_site_type_symbol
_atom_site_fract_x
_atom_site_fract_y
_atom_site_fract_z
Hf1 Hf 0.000 0.223 0.250
Tc1 Tc 0.000 0.500 0.000
P1 P 0.000 0.066 0.750
H1 H 0.000 0.312 0.566
```

## Properties
- VASP energy (eV for the cell shown) = -139.94

---

# 3
The following is a DFT calculation (GGA-PBE) of an optimized crystal structure of Sc3GaN.

CIF file:
```
data_Sc3GaN
_cell_length_a 12.585
_cell_length_b 9.486
_cell_length_c 6.407
_cell_angle_alpha 90.00
_cell_angle_beta 104.13
_cell_angle_gamma 90.00
_space_group_name_H-M_alt 'C 1 2/c 1'
_space_group_IT_number 15
loop_
_space_group_symop_operation_xyz
'x,y,z'
'-x,-y,-z'
'-x,y,-z+1/2'
'x,-y,z+1/2'
'x+1/2,y+1/2,z'
'-x+1/2,-y+1/2,-z'
'-x+1/2,y+1/2,-z+1/2'
'x+1/2,-y+1/2,z+1/2'
loop_
_atom_site_label
_atom_site_type_symbol
_atom_site_fract_x
_atom_site_fract_y
_atom_site_fract_z
Sc1 Sc 0.136 0.185 0.090
Sc2 Sc 0.144 0.497 0.569
Sc3 Sc 0.157 0.169 0.570
Ga1 Ga 0.000 0.007 0.750
Ga2 Ga 0.000 0.328 0.750
N1 N 0.171 0.341 0.330
```

## Properties
- energy relative to the elements, uncorrected (eV/atom) = -0.879

---

# 4
The following is a DFT calculation (GGA-PBE) of an optimized crystal structure of CaSn4Ir4.

CIF file:
```
data_CaSn4Ir4
_cell_length_a 6.891
_cell_length_b 6.891
_cell_length_c 8.332
_cell_angle_alpha 90.00
_cell_angle_beta 90.00
_cell_angle_gamma 90.00
_space_group_name_H-M_alt 'P 42/n m c'
_space_group_IT_number 137
loop_
_space_group_symop_operation_xyz
'x,y,z'
'-x,-y,-z'
'-y+1/2,x,z+1/2'
'y+1/2,-x,-z+1/2'
'-x+1/2,-y+1/2,z'
'x+1/2,y+1/2,-z'
'y,-x+1/2,z+1/2'
'-y,x+1/2,-z+1/2'
'x+1/2,-y,-z'
'-x+1/2,y,z'
'-y,-x,-z+1/2'
'y,x,z+1/2'
'-x,y+1/2,-z'
'x,-y+1/2,z'
'y+1/2,x+1/2,-z+1/2'
'-y+1/2,-x+1/2,z+1/2'
loop_
_atom_site_label
_atom_site_type_symbol
_atom_site_fract_x
_atom_site_fract_y
_atom_site_fract_z
Ca1 Ca 0.250 0.750 0.250
Sn1 Sn 0.009 0.750 0.613
Ir1 Ir 0.054 0.250 0.070
```

## Properties
- energy of formation from the pure elements (eV/atom) = -0.1577

---

# 5
The following is a DFT calculation (GGA-PBE) of an optimized crystal structure of CrReHg3.

CIF file:
```
data_CrReHg3
_cell_length_a 5.182
_cell_length_b 5.182
_cell_length_c 5.182
_cell_angle_alpha 90.00
_cell_angle_beta 90.00
_cell_angle_gamma 90.00
_space_group_name_H-M_alt 'P m -3 m'
_space_group_IT_number 221
_space_group_name_Hall '-P 4 2 3'
loop_
_atom_site_label
_atom_site_type_symbol
_atom_site_fract_x
_atom_site_fract_y
_atom_site_fract_z
Cr1 Cr 0.000 0.000 0.000
Re1 Re 0.500 0.500 0.500
Hg1 Hg 0.000 0.500 0.500
```

## Properties
- energy above the lowest structure with this stoichiometry (eV/atom) = 0.000
- energy of formation from the pure elements (eV/atom) = 1.8676

---

# 6
The following is a DFT calculation (GGA-PBE) of an optimized crystal structure of MnWBr3.

CIF file:
```
data_MnWBr3
_cell_length_a 5.330
_cell_length_b 5.330
_cell_length_c 5.330
_cell_angle_alpha 90.00
_cell_angle_beta 90.00
_cell_angle_gamma 90.00
_space_group_name_H-M_alt 'P m -3 m'
_space_group_IT_number 221
_space_group_name_Hall '-P 4 2 3'
loop_
_atom_site_label
_atom_site_type_symbol
_atom_site_fract_x
_atom_site_fract_y
_atom_site_fract_z
Mn1 Mn 0.000 0.000 0.000
W1 W 0.500 0.500 0.500
Br1 Br 0.000 0.500 0.500
```

## Properties
- energy relative to the elements, uncorrected (eV/atom) = 0.708
- energy above the lowest structure with this stoichiometry (eV/atom) = 0.000

---

# 7
The following is a DFT calculation (GGA-PBE) of an optimized crystal structure of Ac2HoGe4Au3.

CIF file:
```
data_Ac2HoGe4Au3
_cell_length_a 4.582
_cell_length_b 4.582
_cell_length_c 11.312
_cell_angle_alpha 90.00
_cell_angle_beta 90.00
_cell_angle_gamma 90.00
_space_group_name_H-M_alt 'P -4 m 2'
_space_group_IT_number 115
loop_
_space_group_symop_operation_xyz
'x,y,z'
'y,-x,-z'
'-x,-y,z'
'-y,x,-z'
'-x,y,z'
'-y,-x,-z'
'x,-y,z'
'y,x,-z'
loop_
_atom_site_label
_atom_site_type_symbol
_atom_site_fract_x
_atom_site_fract_y
_atom_site_fract_z
Ac1 Ac 0.000 0.500 0.232
Ho1 Ho 0.000 0.000 0.500
Ge1 Ge 0.000 0.000 0.000
Ge2 Ge 0.000 0.500 0.649
Ge3 Ge 0.500 0.500 0.000
Au1 Au 0.000 0.500 0.880
Au2 Au 0.500 0.500 0.500
```

## Properties
- energy of formation from the pure elements (eV/atom) = -0.6760

---

# 8
The following is a DFT calculation (GGA-PBE) of an optimized crystal structure of Nd2HoAgTe5.

CIF file:
```
data_Nd2HoAgTe5
_cell_length_a 4.390
_cell_length_b 18.932
_cell_length_c 13.306
_cell_angle_alpha 90.00
_cell_angle_beta 90.00
_cell_angle_gamma 90.00
_space_group_name_H-M_alt 'C m c 21'
_space_group_IT_number 36
loop_
_space_group_symop_operation_xyz
'x,y,z'
'-x,-y,z+1/2'
'-x,y,z'
'x,-y,z+1/2'
'x+1/2,y+1/2,z'
'-x+1/2,-y+1/2,z+1/2'
'-x+1/2,y+1/2,z'
'x+1/2,-y+1/2,z+1/2'
loop_
_atom_site_label
_atom_site_type_symbol
_atom_site_fract_x
_atom_site_fract_y
_atom_site_fract_z
Nd1 Nd 0.000 0.111 0.000
Nd2 Nd 0.000 0.126 0.618
Ho1 Ho 0.000 0.192 0.322
Ag1 Ag 0.000 0.431 0.774
Te1 Te 0.000 0.043 0.390
Te2 Te 0.000 0.286 0.981
Te3 Te 0.000 0.306 0.654
Te4 Te 0.000 0.356 0.312
Te5 Te 0.000 0.499 0.093
```

## Properties
- energy relative to the elements, uncorrected (eV/atom) = -1.181

---

# 9
The following is a DFT calculation (GGA-PBE) of an optimized crystal structure of LiSbBr6.

CIF file:
```
data_LiSbBr6
_cell_length_a 8.782
_cell_length_b 13.086
_cell_length_c 6.789
_cell_angle_alpha 90.00
_cell_angle_beta 123.51
_cell_angle_gamma 90.00
_space_group_name_H-M_alt 'C 1 2/m 1'
_space_group_IT_number 12
loop_
_space_group_symop_operation_xyz
'x,y,z'
'-x,-y,-z'
'-x,y,-z'
'x,-y,z'
'x+1/2,y+1/2,z'
'-x+1/2,-y+1/2,-z'
'-x+1/2,y+1/2,-z'
'x+1/2,-y+1/2,z'
loop_
_atom_site_label
_atom_site_type_symbol
_atom_site_fract_x
_atom_site_fract_y
_atom_site_fract_z
Li1 Li 0.000 0.000 0.000
Sb1 Sb 0.000 0.000 0.500
Br1 Br 0.143 0.138 0.832
Br2 Br 0.216 0.500 0.528
```

## Properties
- energy relative to the elements, uncorrected (eV/atom) = -0.652
- energy above the lowest structure with this stoichiometry (eV/atom) = 0.000

---

# 10
The following is a DFT calculation (GGA-PBE) of an optimized crystal structure of ScTl2Mo.

CIF file:
```
data_ScTl2Mo
_cell_length_a 3.2014
_cell_length_b 3.2014
_cell_length_c 29.2545
_cell_angle_alpha 90.00
_cell_angle_beta 90.00
_cell_angle_gamma 120.00
_space_group_name_H-M_alt 'R -3 m'
_space_group_IT_number 166
_space_group_name_Hall '-R 3 2"'
loop_
_atom_site_label
_atom_site_type_symbol
_atom_site_fract_x
_atom_site_fract_y
_atom_site_fract_z
Sc1 Sc 0.0000 0.0000 0.0000
Tl1 Tl 0.0000 0.0000 0.2460
Mo1 Mo 0.0000 0.0000 0.5000
```

## Properties
- energy above the lowest structure with this stoichiometry (eV/atom) = 0.144
- energy of formation from the pure elements (eV/atom) = 0.4012

---

# 11
The following is a DFT calculation (GGA-PBE) of an optimized crystal structure of TbNdScTl.

CIF file:
```
data_TbNdScTl
_cell_length_a 7.696
_cell_length_b 7.696
_cell_length_c 7.696
_cell_angle_alpha 90.00
_cell_angle_beta 90.00
_cell_angle_gamma 90.00
_space_group_name_H-M_alt 'F -4 3 m'
_space_group_IT_number 216
_space_group_name_Hall 'F -4 2 3'
loop_
_atom_site_label
_atom_site_type_symbol
_atom_site_fract_x
_atom_site_fract_y
_atom_site_fract_z
Tb1 Tb 0.000 0.000 0.000
Nd1 Nd 0.000 0.000 0.500
Sc1 Sc 0.250 0.250 0.250
Tl1 Tl 0.250 0.250 0.750
```

## Properties
- energy above the lowest structure with this stoichiometry (eV/atom) = 0.105
- energy of formation from the pure elements (eV/atom) = -0.0728

---

# 12
The following is a DFT calculation (GGA-PBE) of an optimized crystal structure of SrLiH3.

CIF file:
```
data_SrLiH3
_cell_length_a 4.0482
_cell_length_b 4.0482
_cell_length_c 10.5381
_cell_angle_alpha 90.00
_cell_angle_beta 90.00
_cell_angle_gamma 120.00
_space_group_name_H-M_alt 'P 63/m m c'
_space_group_IT_number 194
_space_group_name_Hall '-P 6c 2c'
loop_
_atom_site_label
_atom_site_type_symbol
_atom_site_fract_x
_atom_site_fract_y
_atom_site_fract_z
Sr1 Sr 0.0000 0.0000 0.0000
Li1 Li 0.3333 0.6667 0.2500
H1 H 0.0000 0.0000 0.2500
H2 H 0.3333 0.6667 0.0770
```

## Properties
- energy above the lowest structure with this stoichiometry (eV/atom) = 0.092